Material: TiIO6
Method: DFT, GGA-PBE
State: relaxed

Its formation energy without anion corrections is -0.9219 eV per atom. Its total magnetization is 0.118 μB per atom. The total energy comes out at -5.821 eV/atom. The mass density comes out at 4.06 Mg/m³.

Cell: 4.8388 9.7377 4.8337 Å, 90.00 103.63 90.00°
With the nearest neighbours (Å) after each atom.
Space group C2/m (No. 12)
Unique sites:
Ti 0.0000 0.0000 0.0000 x2  6 O 1.91-2.03
I 0.0000 0.5000 0.5000 x2  6 O 1.89
O 0.2333 0.3698 0.7364 x8  1 I 1.89, 1 Ti 2.03
O 0.2498 0.0000 0.7468 x4  1 I 1.89, 1 Ti 1.91